Computed, not measured: a relaxed structure of LiTaMn2O at the PBE with a Hubbard U level of DFT.

Values from the calculation:
Space group: P4/mmm (123)
Total moment (Bohr magnetons per cell): 7.57
Calculated density (g/cm³): 6.395
DFT total energy (Ry per atom): -0.50143

```
5
Lattice="-1.355 4.283 -0.083 -1.755 -0.486 3.601 3.812 1.245 2.026" Properties=species:S:1:pos:R:3 pbc="T T T"
O 0.000 0.000 0.000
Mn -0.677 2.142 -0.041
Mn 1.906 0.623 1.013
Ta -0.878 -0.243 1.801
Li 0.351 2.521 2.772
```